(1)
Computed, not measured: a geometry-optimized Er2Be3CuSi4 structure at the PBE level of DFT.

Output
* M_tot: 0.00 μB/cell
* energy relative to the elements, uncorrected: -0.4005 eV/atom

a b c (Å): 3.8953 3.8953 9.5965
angles (deg): 90.00 90.00 90.00
With the nearest neighbours (Å) after each atom.
Space group P-4m2 (No. 115)
One atom of each set of equivalent atoms:
Er: 0.0000 0.5000 0.2464 (multiplicity 2)  8 Si 2.97-3.06, 6 Be 2.97-3.12, 2 Cu 3.12
Be: 0.0000 0.5000 0.8698 (multiplicity 2)  5 Si 2.21-2.31
Be: 0.5000 0.5000 0.5000 (multiplicity 1)  4 Si 2.36
Cu: 0.0000 0.0000 0.5000 (multiplicity 1)  4 Si 2.36
Si: 0.0000 0.0000 0.0000 (multiplicity 1)  4 Be 2.31
Si: 0.0000 0.5000 0.6392 (multiplicity 2)  3 Be 2.21-2.36, 2 Cu 2.36
Si: 0.5000 0.5000 0.0000 (multiplicity 1)  4 Be 2.31

(2)
Computed, not measured: a geometry-optimized KZr2Sc structure at the PBE level of DFT.

Output
* E above lowest polymorph: 0.671 eV/atom
* M_tot: 0.00 μB/cell
* energy of formation from the pure elements: 1.00 eV per atom

a b c (Å): 7.5543 7.5543 7.5543
angles (deg): 90.00 90.00 90.00
With the nearest neighbours (Å) after each atom.
Space group Fm-3m (No. 225)
One atom of each set of equivalent atoms:
K: 0.0000 0.0000 0.0000 (multiplicity 4)  8 Zr 3.27
Zr: 0.2500 0.2500 0.2500 (multiplicity 8)  4 K 3.27, 4 Sc 3.27
Sc: 0.0000 0.0000 0.5000 (multiplicity 4)  8 Zr 3.27

(3)
Computed, not measured: a geometry-optimized TcAgI2O structure at the PBE level of DFT.

Output
* E above lowest polymorph: 0.000 eV/atom
* M_tot: 0.00 μB/cell
* energy relative to the elements, uncorrected: -0.1751 eV/atom

a b c (Å): 5.6332 5.6332 3.7534
angles (deg): 90.00 90.00 90.00
With the nearest neighbours (Å) after each atom.
Space group P4/mmm (No. 123)
One atom of each set of equivalent atoms:
Tc: 0.0000 0.0000 0.0000 (multiplicity 1)  2 O 1.88
Ag: 0.5000 0.5000 0.5000 (multiplicity 1)  8 I 3.38, 2 Ag 3.75
I: 0.0000 0.5000 0.0000 (multiplicity 2)  2 Tc 2.82
O: 0.0000 0.0000 0.5000 (multiplicity 1)  2 Tc 1.88

(4)
Computed, not measured: a geometry-optimized SrScBr structure at the PBE level of DFT.

Output
* E above lowest polymorph: 0.286 eV/atom
* M_tot: 0.23 μB/cell
* energy relative to the elements, uncorrected: -0.3123 eV/atom

a b c (Å): 4.9653 4.9653 4.4493
angles (deg): 90.00 90.00 120.00
With the nearest neighbours (Å) after each atom.
Space group P3m1 (No. 156)
One atom of each set of equivalent atoms:
Sr: 0.0000 0.0000 0.0000 (multiplicity 1)  6 Br 3.62-3.63, 6 Sc 3.63
Sc: 0.3333 0.6667 0.4997 (multiplicity 1)  3 Br 2.87
Br: 0.6667 0.3333 0.4978 (multiplicity 1)  3 Sc 2.87

(5)
Computed, not measured: a geometry-optimized Nd3GaCu8 structure at the PBE level of DFT.

Output
* M_tot: 0.00 μB/cell
* energy of formation from the pure elements: -0.14 eV per atom

a b c (Å): 5.2671 5.2671 25.6702
angles (deg): 90.00 90.00 120.00
With the nearest neighbours (Å) after each atom.
Space group R3m (No. 160, hexagonal axes)
One atom of each set of equivalent atoms:
Nd: 0.0000 0.0000 0.0000 (multiplicity 3)  12 Cu 3.05-3.16, 4 Nd 3.24-3.34
Nd: 0.0000 0.0000 0.1262 (multiplicity 3)  12 Cu 2.96-3.13, 3 Ga 3.13, 1 Nd 3.24
Nd: 0.0000 0.0000 0.6125 (multiplicity 3)  12 Cu 2.99-3.31, 1 Ga 3.20
Ga: 0.0000 0.0000 0.4878 (multiplicity 3)  12 Cu 2.85-3.19, 3 Nd 3.13
Cu: 0.0000 0.0000 0.3083 (multiplicity 3)  6 Cu 2.66
Cu: 0.0000 0.0000 0.8096 (multiplicity 3)  6 Cu 2.57-2.62
Cu: 0.0027 0.5014 0.0603 (multiplicity 9)  6 Cu 2.61-2.66, 1 Ga 2.85
Cu: 0.0079 0.5039 0.5578 (multiplicity 9)  6 Cu 2.57-2.70

(6)
Computed, not measured: a geometry-optimized Zn2Fe2Ir structure at the PBE level of DFT.

Output
* M_tot: 10.14 μB/cell
* energy of formation from the pure elements: 0.26 eV per atom

a b c (Å): 6.8148 6.8148 2.8901
angles (deg): 90.00 90.00 90.00
With the nearest neighbours (Å) after each atom.
Space group P4/mbm (No. 127)
One atom of each set of equivalent atoms:
Zn: 0.1795 0.3205 0.0000 (multiplicity 4)  6 Fe 2.43-2.52
Fe: 0.1176 0.6176 0.5000 (multiplicity 4)  1 Fe 2.27, 6 Zn 2.43-2.52
Ir: 0.0000 0.0000 0.5000 (multiplicity 2)  4 Fe 2.73, 2 Ir 2.89, 8 Zn 2.89